[1]
A relaxed BiIr2Pd crystal. Source: Alexandria via LeMat-Bulk, functional GGA-PBE.

The structure belongs to space group Cm (No. 8); the cell edges are 8.9142, 3.0536 and 5.3542 Å and the angles 90.00°, 100.23° and 90.00°. The asymmetric unit holds Bi at (0.0000, 0.0000, 0.0000), Ir at (0.2564, 0.5000, 0.3103), Ir at (0.4948, 0.0000, 0.4873) and Pd at (0.2426, 0.0000, 0.7366).


[2]
A relaxed BiIr2Pd2 crystal. Source: Alexandria via LeMat-Bulk, functional GGA-PBE.

The structure belongs to space group P4/mbm (No. 127); the cell edges are 7.7714, 7.7714 and 2.9253 Å and the angles 90.00°, 90.00° and 90.00°. The asymmetric unit holds Bi at (0.0000, 0.0000, 0.0000), Ir at (0.1191, 0.3809, 0.0000) and Pd at (0.1777, 0.6777, 0.5000).


[3]
A relaxed BiIr3Pd crystal. Source: Alexandria via LeMat-Bulk, functional GGA-PBE.

The structure belongs to space group Pm-3m (No. 221); the cell edges are 4.8027, 4.8027 and 4.8027 Å and the angles 90.00°, 90.00° and 90.00°. The asymmetric unit holds Bi at (0.0000, 0.0000, 0.0000), Ir at (0.0000, 0.5000, 0.5000) and Pd at (0.5000, 0.5000, 0.5000).


Computed energy of formation from the pure elements, in the same sequence as the records: 334; 328; 1730 meV per atom.